Here is a relaxed structure of La4SmTh from Alexandria. Energies are from PBE-GGA.

Cell: 5.8305 5.8380 9.2079 Å, 108.42 71.54 60.04°
Last column: nearest neighbours and their distance in Å.
Fractional coordinates of all 6 atoms:
Sm 0.0000 0.0000 0.0000  2 Th 3.57, 12 La 3.80-3.82
Th 0.5000 0.5000 0.5000  2 Sm 3.57, 12 La 3.81-3.83
La 0.4180 0.9155 0.2485  5 La 3.36-3.58
La 0.5820 0.0845 0.7515  5 La 3.36-3.58
La 0.0851 0.5808 0.2490  5 La 3.36-3.58
La 0.9149 0.4192 0.7510  5 La 3.36-3.58

The calculation puts the volume at 35.1 A^3/atom. The calculation puts the energy above the most stable polymorph in this dataset at 0 meV per atom. As for the total energy: -5.245 eV/atom. The density is 7.403 g cm⁻³. Its formation energy is 0.38 eV/f.u. The calculation puts the total magnetization at 0.0 Bohr magnetons per cell.